[1]
MnAsBr3 | PBE | relaxed

Geometry as extended XYZ:
```
5
Lattice="-4.4495 3.0435 0.0564 -3.0280 -4.4152 -0.6334 -0.3113 -0.5544 5.3534" Properties=species:S:1:pos:R:3 pbc="T T T"
Mn -3.8944 -0.9631 2.3882
Br -2.2247 1.5217 0.0282
Br -0.1557 -0.2772 2.6767
Br -1.5140 -2.2076 -0.3167
As 0.0000 0.0000 0.0000
```

[2]
MnAs2Br | PBE | relaxed

Geometry as extended XYZ:
```
4
Lattice="9.1048 -0.0915 -0.0542 8.4016 3.5100 -0.0542 8.4016 1.6406 3.1034" Properties=species:S:1:pos:R:3 pbc="T T T"
Mn 19.2129 3.7517 2.2211
Br 12.0721 2.3573 1.3956
As 7.3963 1.4443 0.8551
As 0.1807 0.0353 0.0209
```

Output
- ΔE to the lowest computed polymorph: 141.4 meV per atom

[3]
MnAsBr | PBE | relaxed

Geometry as extended XYZ:
```
3
Lattice="3.5267 0.0000 0.0000 -1.7633 3.0542 0.0000 0.0000 0.0000 7.0950" Properties=species:S:1:pos:R:3 pbc="T T T"
As 0.0000 0.0000 6.2218
Br 0.0000 2.0361 3.1601
Mn 1.7633 1.0181 4.8081
```

Output
- ΔE to the lowest computed polymorph: 0.0 meV per atom

[4]
MnAsBr | PBE | relaxed

Geometry as extended XYZ:
```
3
Lattice="4.5457 0.0000 0.0000 2.2729 3.9367 0.0000 2.2729 1.3122 3.7116" Properties=species:S:1:pos:R:3 pbc="T T T"
Br 4.5457 2.6245 1.8558
Mn 6.8186 3.9367 2.7837
As 0.0000 0.0000 0.0000
```

Output
- ΔE to the lowest computed polymorph: 489.5 meV per atom

[5]
MnAs2Br | PBE | relaxed

Geometry as extended XYZ:
```
4
Lattice="-3.0188 2.0453 -0.7466 -3.0976 -0.4532 2.0132 4.4357 4.7956 4.4682" Properties=species:S:1:pos:R:3 pbc="T T T"
As -2.0762 2.9764 2.6352
Mn -0.4202 1.5969 1.4337
Br -1.2605 4.7908 4.3011
As -4.8805 1.8096 1.4987
```

Output
- ΔE to the lowest computed polymorph: 122.9 meV per atom

[6]
MnAs2BrN | PBE | relaxed

Geometry as extended XYZ:
```
5
Lattice="4.5581 0.0000 0.0000 0.0000 4.5581 0.0000 0.0000 0.0000 5.3058" Properties=species:S:1:pos:R:3 pbc="T T T"
As 0.0000 2.2790 0.0000
Mn 0.0000 0.0000 0.0000
N 2.2790 2.2790 2.6529
As 2.2790 0.0000 0.0000
Br 0.0000 0.0000 2.6529
```

Output
- ΔE to the lowest computed polymorph: 256.6 meV per atom

[7]
MnAs2BrN | PBE | relaxed

Geometry as extended XYZ:
```
5
Lattice="-3.7825 0.6384 -2.2420 -0.6379 -4.3937 -0.1749 -2.2348 0.1724 3.8195" Properties=species:S:1:pos:R:3 pbc="T T T"
As -1.8913 0.3192 -1.1210
As -0.3189 -2.1968 -0.0875
Br -1.1174 0.0862 1.9097
N 0.0000 0.0000 0.0000
Mn -3.3276 -1.7914 0.7013
```

Output
- ΔE to the lowest computed polymorph: 0.0 meV per atom

[8]
MnNbAs2Br | PBE | relaxed

Geometry as extended XYZ:
```
5
Lattice="5.0143 0.0000 0.0000 0.0000 5.0143 0.0000 0.0000 0.0000 5.2608" Properties=species:S:1:pos:R:3 pbc="T T T"
Nb 0.0000 0.0000 0.0000
Br 0.0000 0.0000 2.6304
As 2.5072 0.0000 0.0000
Mn 2.5072 2.5072 2.6304
As 0.0000 2.5072 0.0000
```

Output
- ΔE to the lowest computed polymorph: 0.0 meV per atom

[9]
MnNbAs2Br | PBE | relaxed

Geometry as extended XYZ:
```
5
Lattice="-2.3149 2.0110 -3.4956 -3.5405 -2.9433 0.6514 -2.0822 3.2197 3.2312" Properties=species:S:1:pos:R:3 pbc="T T T"
Mn 0.0000 0.0000 0.0000
As -1.1575 1.0055 -1.7478
As -1.7702 -1.4717 0.3257
Br -1.0411 1.6099 1.6156
Nb -3.9688 1.1437 0.1934
```

Output
- ΔE to the lowest computed polymorph: 212.4 meV per atom

[10]
MnNiAsBr2 | PBE | relaxed

Geometry as extended XYZ:
```
5
Lattice="4.8697 0.0000 0.0000 0.0000 4.8697 0.0000 0.0000 0.0000 4.8084" Properties=species:S:1:pos:R:3 pbc="T T T"
Ni 0.0000 0.0000 0.0000
Br 0.0000 2.4348 0.0000
Mn 2.4348 2.4348 2.4042
Br 2.4348 0.0000 0.0000
As 0.0000 0.0000 2.4042
```

Output
- ΔE to the lowest computed polymorph: 0.0 meV per atom

[11]
MnNiAs2Br | PBE | relaxed

Geometry as extended XYZ:
```
5
Lattice="-1.6401 4.0709 1.2409 -3.6955 -0.7026 -2.5791 -2.4040 -2.2014 4.0444" Properties=species:S:1:pos:R:3 pbc="T T T"
Br -1.2020 -1.1007 2.0222
Ni 0.0000 0.0000 0.0000
As -0.8200 2.0355 0.6205
As -1.8478 -0.3513 -1.2895
Mn -3.8698 0.5835 1.3531
```

Output
- ΔE to the lowest computed polymorph: 0.0 meV per atom

[12]
MnNiAs2Br | PBE | relaxed

Geometry as extended XYZ:
```
5
Lattice="-1.3711 -4.2663 0.1161 0.7241 -0.3527 -4.4098 4.9521 -1.5660 0.9385" Properties=species:S:1:pos:R:3 pbc="T T T"
Mn 0.0000 0.0000 0.0000
Ni 2.1526 -3.0925 -1.6776
As -0.6856 -2.1332 0.0580
Br 2.4761 -0.7830 0.4692
As 0.3621 -0.1764 -2.2049
```

Output
- ΔE to the lowest computed polymorph: 198.9 meV per atom

Number 1: total energy -17.601 eV/cell, E_form (uncorrected) 0.25 eV/atom. Number 2: total energy -20.314 eV/cell, E_form (uncorrected) -0.04 eV/atom. Number 3: total energy -16.246 eV/cell, E_form (uncorrected) -0.25 eV/atom. Number 4: total energy -14.778 eV/cell, E_form (uncorrected) 0.24 eV/atom. Number 5: total energy -20.388 eV/cell, E_form (uncorrected) -0.06 eV/atom. Number 6: total energy -22.297 eV/cell, E_form (uncorrected) 1.23 eV/atom. Number 7: total energy -23.579 eV/cell, E_form (uncorrected) 0.98 eV/atom. Number 8: total energy -28.071 eV/cell, E_form (uncorrected) 0.43 eV/atom. Number 9: total energy -27.009 eV/cell, E_form (uncorrected) 0.64 eV/atom. Number 10: total energy -20.988 eV/cell, E_form (uncorrected) 0.39 eV/atom. Number 11: total energy -23.363 eV/cell, E_form (uncorrected) 0.51 eV/atom. Number 12: total energy -22.368 eV/cell, E_form (uncorrected) 0.71 eV/atom.